The following is a PBE calculation of a relaxed structure of MgNiCS, from Alexandria.

a b c (Å): 3.475 3.475 14.881
angles (deg): 90.00 90.00 120.00
Fractional coordinates of all 12 atoms:
Mg  0.333  0.667  0.820
Ni  0.000  0.000  0.374
Ni  0.333  0.667  0.040
C  0.000  0.000  0.721
S  0.000  0.000  0.597
Mg  0.667  0.333  0.487
S  0.333  0.667  0.264
C  0.333  0.667  0.388
C  0.667  0.333  0.054
S  0.667  0.333  0.931
Ni  0.667  0.333  0.707
Mg  0.000  0.000  0.154

Summary:
Formation energy (no corrections)   0.483 eV per formula unit
V   155.65 Å³/cell
Polymorph energy (0 for the lowest one)   0.1 kJ per mole of atoms
Magnetization   0.000 μB/f.u.

The following is a PBE calculation of a relaxed structure of Sr2MgNiC, from Alexandria.

a b c (Å): 5.644 5.644 3.700
angles (deg): 90.00 90.00 90.00
Fractional coordinates of all 5 atoms:
Ni  0.000  0.000  0.500
Mg  0.500  0.500  0.500
C  0.000  0.000  0.000
Sr  0.000  0.500  0.000
Sr  0.500  0.000  0.000

Summary:
V   117.86 Å³/cell
Magnetization   0.000 μB/f.u.
E_form   0.102 eV per atom

The following is a PBE calculation of a relaxed structure of MgTcNi2C, from Alexandria.

a b c (Å): 3.844 3.844 4.060
angles (deg): 90.00 90.00 90.00
Last column: magnetic moment on the atom in μB.
Fractional coordinates of all 5 atoms:
Mg  0.500  0.500  0.500  0.00
Ni  0.500  0.000  0.000  0.07
Tc  0.000  0.000  0.500  0.02
C  0.000  0.000  0.000  0.00
Ni  0.000  0.500  0.000  0.07

Summary:
V   60.00 Å³/cell
Magnetization   0.165 μB/f.u.
E_form   -0.033 eV per atom

The following is a PBE calculation of a relaxed structure of Y2MgNiC, from Alexandria.

a b c (Å): 5.065 5.065 3.753
angles (deg): 90.00 90.00 90.00
Fractional coordinates of all 5 atoms:
Ni  0.000  0.000  0.500
Mg  0.500  0.500  0.500
C  0.000  0.000  0.000
Y  0.500  0.000  0.000
Y  0.000  0.500  0.000

Summary:
V   96.28 Å³/cell
Magnetization   0.000 μB/f.u.
E_form   -0.187 eV per atom

The following is a PBE calculation of a relaxed structure of Mg2ZnNiC, from Alexandria.

a b c (Å): 4.456 4.456 3.676
angles (deg): 90.00 90.00 90.00
Fractional coordinates of all 5 atoms:
Mg  0.000  0.500  0.000
Mg  0.500  0.000  0.000
C  0.000  0.000  0.000
Zn  0.500  0.500  0.500
Ni  0.000  0.000  0.500

Summary:
V   72.98 Å³/cell
Magnetization   0.000 μB/f.u.
E_form   0.077 eV per atom

The following is a PBE calculation of a relaxed structure of MgNpC, from Alexandria.

a b c (Å): 4.951 3.527 8.598
angles (deg): 90.00 90.00 135.24
Last column: magnetic moment on the atom in μB.
Fractional coordinates of all 6 atoms:
C  0.750  0.500  0.869  -0.14
Mg  0.750  0.500  0.601  0.00
Np  0.750  0.500  0.143  3.14
C  0.250  0.500  0.131  -0.14
Np  0.250  0.500  0.857  3.14
Mg  0.250  0.500  0.399  0.00

Summary:
V   105.74 Å³/cell
Magnetization   3.297 μB/f.u.
E_form   0.169 eV per atom

The following is a PBE calculation of a relaxed structure of Mg2C2O7, from Alexandria.

a b c (Å): 4.526 5.199 5.199
angles (deg): 104.26 104.84 104.84
Fractional coordinates of all 11 atoms:
Mg  0.500  0.696  0.304
O  0.822  0.679  0.679
Mg  0.500  0.304  0.696
O  0.000  0.000  0.000
C  0.854  0.260  0.260
O  0.178  0.321  0.321
C  0.146  0.740  0.740
O  0.285  0.881  0.606
O  0.285  0.606  0.881
O  0.715  0.394  0.119
O  0.715  0.119  0.394

Summary:
Formation energy (no corrections)   -16.410 eV per formula unit
V   107.79 Å³/cell
Magnetization   0.017 μB/f.u.

The following is a PBE calculation of a relaxed structure of MgCO2, from Alexandria.

a b c (Å): 3.675 3.675 3.675
angles (deg): 60.00 60.00 60.00
Fractional coordinates of all 4 atoms:
C  0.000  0.000  0.000
Mg  0.500  0.500  0.500
O  0.250  0.250  0.250
O  0.750  0.750  0.750

Summary:
Formation energy (no corrections)   1.511 eV per formula unit
V   35.11 Å³/cell
Polymorph energy (0 for the lowest one)   84.4 kJ per mole of atoms
Magnetization   0.000 μB/f.u.

The following is a PBE calculation of a relaxed structure of Mg3CO, from Alexandria.

a b c (Å): 3.977 3.977 3.977
angles (deg): 90.00 90.00 90.00
Fractional coordinates of all 5 atoms:
C  0.500  0.500  0.500
Mg  0.000  0.000  0.500
Mg  0.000  0.500  0.000
Mg  0.500  0.000  0.000
O  0.000  0.000  0.000

Summary:
Formation energy (no corrections)   -1.986 eV per formula unit
V   62.91 Å³/cell
Polymorph energy (0 for the lowest one)   0.0 kJ per mole of atoms
Magnetization   0.000 μB/f.u.

The following is a PBE calculation of a relaxed structure of MgCO3, from Alexandria.

a b c (Å): 3.830 7.380 6.314
angles (deg): 90.00 90.00 140.13
Fractional coordinates of all 10 atoms:
C  0.903  0.603  0.750
O  0.877  0.250  0.078
O  0.877  0.250  0.422
Mg  0.725  0.148  0.750
O  0.489  0.327  0.750
O  0.511  0.673  0.250
O  0.123  0.750  0.578
Mg  0.275  0.852  0.250
O  0.123  0.750  0.922
C  0.097  0.397  0.250

Summary:
Formation energy (no corrections)   -9.482 eV per formula unit
V   114.39 Å³/cell
Magnetization   0.000 μB/f.u.

The following is a PBE calculation of a relaxed structure of MgC2O, from Alexandria.

a b c (Å): 4.938 4.938 4.761
angles (deg): 58.76 58.76 90.00
Fractional coordinates of all 8 atoms:
Mg  0.750  0.250  0.500
C  0.212  0.625  0.250
O  0.500  0.500  0.000
C  0.375  0.462  0.750
C  0.538  0.125  0.250
O  0.250  0.750  0.500
C  0.875  0.788  0.750
Mg  0.000  0.000  0.000

Summary:
Formation energy (no corrections)   6.543 eV per formula unit
V   78.92 Å³/cell
Polymorph energy (0 for the lowest one)   0.0 kJ per mole of atoms
Magnetization   0.000 μB/f.u.

The following is a PBE calculation of a relaxed structure of MgC2O6, from Alexandria.

a b c (Å): 5.164 5.164 11.421
angles (deg): 71.30 71.30 60.07
Last column: magnetic moment on the atom in μB.
Fractional coordinates of all 18 atoms:
O  0.763  0.531  0.138  0.29
O  0.531  0.763  0.638  0.29
O  0.469  0.237  0.362  0.29
C  0.815  0.621  0.641  -0.03
Mg  0.098  0.902  0.750  -0.01
Mg  0.902  0.098  0.250  -0.01
O  0.336  0.959  0.139  0.29
O  0.958  0.764  0.640  0.29
O  0.236  0.042  0.860  0.29
O  0.042  0.236  0.360  0.29
O  0.041  0.664  0.361  0.29
O  0.764  0.958  0.140  0.29
O  0.664  0.041  0.861  0.29
O  0.237  0.469  0.862  0.29
O  0.959  0.336  0.639  0.29
C  0.621  0.815  0.141  -0.03
C  0.379  0.185  0.859  -0.03
C  0.185  0.379  0.359  -0.03

Summary:
Formation energy (no corrections)   -12.442 eV per formula unit
V   245.14 Å³/cell
Magnetization   2.000 μB/f.u.

Copy entry 2 word for word.
The following is a PBE calculation of a relaxed structure of Sr2MgNiC, from Alexandria.

a b c (Å): 5.644 5.644 3.700
angles (deg): 90.00 90.00 90.00
Fractional coordinates of all 5 atoms:
Ni  0.000  0.000  0.500
Mg  0.500  0.500  0.500
C  0.000  0.000  0.000
Sr  0.000  0.500  0.000
Sr  0.500  0.000  0.000

Summary:
V   117.86 Å³/cell
Magnetization   0.000 μB/f.u.
E_form   0.102 eV per atom

Copy entry 9 word for word.
The following is a PBE calculation of a relaxed structure of Mg3CO, from Alexandria.

a b c (Å): 3.977 3.977 3.977
angles (deg): 90.00 90.00 90.00
Fractional coordinates of all 5 atoms:
C  0.500  0.500  0.500
Mg  0.000  0.000  0.500
Mg  0.000  0.500  0.000
Mg  0.500  0.000  0.000
O  0.000  0.000  0.000

Summary:
Formation energy (no corrections)   -1.986 eV per formula unit
V   62.91 Å³/cell
Polymorph energy (0 for the lowest one)   0.0 kJ per mole of atoms
Magnetization   0.000 μB/f.u.

Question: Number 1 is which compound?
Answer: MgNiCS

Question: The lowest V belongs to which entry?
Answer: MgCO2